[1]
## KAg2AsSO3 (PBE-GGA)

Data for a geometry-optimized KAg2AsSO3 structure.

Geometry as extended XYZ:
```
8
Lattice="3.6097 -4.1811 0.0000 3.6097 4.1811 0.0000 -3.3940 0.0000 4.5696" Properties=species:S:1:pos:R:3 pbc="T T T"
K 0.0000 0.0000 0.0000
Ag 1.9484 1.9929 2.0681
Ag 1.9484 -1.9929 2.0681
As 0.0427 0.0000 4.2347
S 4.5054 0.0000 1.5983
O -0.9088 1.4393 4.2639
O 1.1002 0.0000 2.8695
O -0.9088 -1.4393 4.2639
```

Results
space-group type: Cm, No. 8
raw total energy: -4.63 eV per atom

[2]
## Lu3Co (PBE-GGA)

Data for a geometry-optimized Lu3Co structure.

Geometry as extended XYZ:
```
8
Lattice="6.6417 0.0000 0.0000 -3.3209 5.7519 0.0000 0.0000 0.0000 4.6900" Properties=species:S:1:pos:R:3 pbc="T T T"
Lu 0.0000 2.0643 1.1725
Lu -1.5331 4.7198 1.1725
Lu 1.7877 1.0321 3.5175
Lu 1.5331 4.7198 1.1725
Lu 4.8540 1.0321 3.5175
Lu 3.3209 3.6876 3.5175
Co 0.0000 3.8346 3.5175
Co 3.3209 1.9173 1.1725
```

Results
size of the total moment: 0.2 Bohr magnetons per cell
energy relative to the elements: 0.112 eV per atom
space-group type: P6_3/mmc, No. 194

[3]
## La2Dy2CBr3Cl2 (PBE-GGA)

Data for a geometry-optimized La2Dy2CBr3Cl2 structure.

Geometry as extended XYZ:
```
10
Lattice="9.1039 -1.9253 0.0000 9.1039 1.9253 0.0000 -2.2537 0.0000 7.8445" Properties=species:S:1:pos:R:3 pbc="T T T"
La 2.4729 0.0000 0.7433
La 13.4811 0.0000 7.1012
Dy 8.6560 0.0000 1.5818
Dy 7.2980 0.0000 6.2627
C 0.0000 0.0000 0.0000
Br -1.1268 0.0000 3.9223
Br 5.7079 0.0000 1.4477
Br 10.2461 0.0000 6.3968
Cl 4.8552 0.0000 5.0205
Cl 11.0989 0.0000 2.8240
```

Results
size of the total moment: 0.3 Bohr magnetons per cell
space-group type: C2/m, No. 12
offset from the most stable computed form: 0.0 meV/atom

[4]
## TcBiMo2 (PBE-GGA)

Data for a geometry-optimized TcBiMo2 structure.

Geometry as extended XYZ:
```
4
Lattice="0.0000 3.2589 3.2589 3.2589 0.0000 3.2589 3.2589 3.2589 0.0000" Properties=species:S:1:pos:R:3 pbc="T T T"
Tc 0.0000 0.0000 0.0000
Bi 4.8883 4.8883 4.8883
Mo 1.6294 1.6294 1.6294
Mo 3.2589 3.2589 3.2589
```

Results
size of the total moment: 0.5 Bohr magnetons per cell
space-group type: F-43m, No. 216
raw total energy: -8.44 eV per atom

[5]
## Si11Ag3 (PBE-GGA)

Data for a geometry-optimized Si11Ag3 structure.

Geometry as extended XYZ:
```
14
Lattice="5.7742 -3.9144 0.0000 5.7742 3.9144 0.0000 -1.1084 0.0000 5.7517" Properties=species:S:1:pos:R:3 pbc="T T T"
Si 0.0000 0.0000 0.0000
Si 1.6229 1.4151 4.2848
Si 5.1630 2.6447 3.5652
Si 5.4790 1.9355 1.3099
Si 3.2476 0.0000 3.3062
Si 1.6229 -1.4151 4.2848
Si 9.0379 1.4708 0.6126
Si 7.4403 0.0000 1.6429
Si 5.4790 -1.9355 1.3099
Si 5.1630 -2.6447 3.5652
Si 9.0379 -1.4708 0.6126
Ag 2.5454 0.0000 0.8876
Ag 4.8821 0.0000 5.2035
Ag 8.0523 0.0000 4.0762
```

Results
space-group type: Cm, No. 8
raw total energy: -4.45 eV per atom

[6]
## TbGdTeO2 (PBE-GGA)

Data for a geometry-optimized TbGdTeO2 structure.

Geometry as extended XYZ:
```
5
Lattice="3.9192 0.0000 0.0000 -1.9596 3.3941 0.0000 0.0000 0.0000 7.2259" Properties=species:S:1:pos:R:3 pbc="T T T"
Tb 0.0000 0.0000 0.0000
Gd 1.9596 1.1314 2.8345
Te 0.0000 2.2627 5.0368
O 0.0000 0.0000 2.2797
O 1.9596 1.1314 0.5378
```

Results
size of the total moment: 0.0 Bohr magnetons per cell
space-group type: P3m1, No. 156
offset from the most stable computed form: 81.1 meV/atom